(1)
Here is an optimized crystal structure of TmTl2PbSe4 from Alexandria via LeMat-Bulk. Energies are from GGA-PBE.

Properties
- Formation energy from raw total energies: -867 meV per atom

a b c (Å): 7.5643 4.2117 7.7586
angles (deg): 90.00 108.71 90.00
Space group P2/m (No. 10)
Symmetry-distinct sites (fractional):
Tm 0.0000 0.0000 0.0000
Tl 0.0000 0.5000 0.5000
Tl 0.5000 0.0000 0.5000
Pb 0.5000 0.5000 0.0000
Se 0.2196 0.5000 0.2126
Se 0.2343 0.0000 0.7726

(2)
Here is an optimized crystal structure of UTl3Pb2Se6 from Alexandria via LeMat-Bulk. Energies are from GGA-PBE.

Properties
- Formation energy from raw total energies: -716 meV per atom

a b c (Å): 7.5795 13.0315 7.9656
angles (deg): 90.00 108.13 90.00
Space group C2/m (No. 12)
Symmetry-distinct sites (fractional):
U 0.0000 0.0000 0.0000
Tl 0.0000 0.1693 0.5000
Tl 0.0000 0.5000 0.5000
Pb 0.0000 0.3335 0.0000
Se 0.2203 0.1510 0.2089
Se 0.2283 0.0000 0.7832

(3)
Here is an optimized crystal structure of UTl3Pb3Se8 from Alexandria via LeMat-Bulk. Energies are from GGA-PBE.

Properties
- Formation energy from raw total energies: -618 meV per atom

a b c (Å): 14.9786 8.6609 9.0466
angles (deg): 90.00 123.51 90.00
Space group C2/m (No. 12)
Symmetry-distinct sites (fractional):
U 0.0000 0.0000 0.0000
Tl 0.0000 0.0000 0.5000
Tl 0.2500 0.2500 0.5000
Pb 0.0000 0.5000 0.0000
Pb 0.2500 0.2500 0.0000
Se 0.0050 0.2228 0.7924
Se 0.2177 0.0000 0.2074
Se 0.2449 0.5000 0.2345

(4)
Here is an optimized crystal structure of UTl2PbSe6 from Alexandria via LeMat-Bulk. Energies are from GGA-PBE.

Properties
- Formation energy from raw total energies: -502 meV per atom

a b c (Å): 7.4087 7.5779 13.1260
angles (deg): 90.00 123.34 90.00
Space group P2_1/c (No. 14)
Symmetry-distinct sites (fractional):
U 0.0000 0.0000 0.0000
Tl 0.2665 0.0391 0.7524
Pb 0.5000 0.0000 0.5000
Se 0.0850 0.1904 0.4383
Se 0.2655 0.6538 0.4486
Se 0.3421 0.0767 0.2354

(5)
Here is an optimized crystal structure of UTl2PbSe4 from Alexandria via LeMat-Bulk. Energies are from GGA-PBE.

Properties
- Formation energy from raw total energies: -754 meV per atom

a b c (Å): 7.5498 4.2954 8.0213
angles (deg): 90.00 107.57 90.00
Space group P2/m (No. 10)
Symmetry-distinct sites (fractional):
U 0.0000 0.0000 0.0000
Tl 0.0000 0.5000 0.5000
Tl 0.5000 0.0000 0.5000
Pb 0.5000 0.5000 0.0000
Se 0.2159 0.5000 0.2058
Se 0.2359 0.0000 0.7880

(6)
Here is an optimized crystal structure of UTl2Pb3Se6 from Alexandria via LeMat-Bulk. Energies are from GGA-PBE.

Properties
- Formation energy from raw total energies: -670 meV per atom

a b c (Å): 7.8045 13.5527 7.4776
angles (deg): 90.00 110.23 90.00
Space group C2/m (No. 12)
Symmetry-distinct sites (fractional):
U 0.0000 0.0000 0.0000
Tl 0.0000 0.3285 0.0000
Pb 0.0000 0.1566 0.5000
Pb 0.0000 0.5000 0.5000
Se 0.2202 0.0000 0.7496
Se 0.2277 0.1460 0.2402

(7)
Here is an optimized crystal structure of U3Tl3PbSe8 from Alexandria via LeMat-Bulk. Energies are from GGA-PBE.

Properties
- Formation energy from raw total energies: -870 meV per atom

a b c (Å): 14.7017 8.4864 9.1057
angles (deg): 90.00 122.57 90.00
Space group C2/m (No. 12)
Symmetry-distinct sites (fractional):
U 0.0000 0.0000 0.0000
U 0.2500 0.2500 0.0000
Tl 0.0000 0.5000 0.5000
Tl 0.2500 0.2500 0.5000
Pb 0.0000 0.5000 0.0000
Se 0.0198 0.2328 0.7936
Se 0.2356 0.0000 0.2046
Se 0.2470 0.5000 0.2067

(8)
Here is an optimized crystal structure of ZrTl3Pb2Se6 from Alexandria via LeMat-Bulk. Energies are from GGA-PBE.

Properties
- Formation energy from raw total energies: -678 meV per atom

a b c (Å): 7.4935 12.9119 7.7415
angles (deg): 90.00 109.12 90.00
Space group C2/m (No. 12)
Symmetry-distinct sites (fractional):
Zr 0.0000 0.0000 0.0000
Tl 0.0000 0.1712 0.5000
Tl 0.0000 0.5000 0.5000
Pb 0.0000 0.3352 0.0000
Se 0.2218 0.1501 0.2121
Se 0.2241 0.0000 0.7791